No. 1
Below is a relaxed structure of LaSc2Os, with properties calculated at the PBE level.

Values from the calculation:
ΔE_f = 0.9 eV/f.u.
Excess energy over the best structure of this formula in the dataset = 475.9 meV/atom
Size of the total moment = 0.48 Bohr magnetons per cell
Crystal system = trigonal

abc: 10.076 10.076 10.076
angles: 19.23 19.23 19.23
Each line ends with the local moment (μB).
Atoms (fractional coordinates):
La 0.486 0.486 0.486  0.04
Os 0.744 0.744 0.744  0.03
Sc 0.015 0.015 0.015  0.01
Sc 0.255 0.255 0.255  0.20

No. 2
Below is a relaxed structure of La2ScOs, with properties calculated at the PBE level.

Values from the calculation:
ΔE_f = 0.9 eV/f.u.
Excess energy over the best structure of this formula in the dataset = 310.4 meV/atom
Size of the total moment = 0.00 Bohr magnetons per cell
Crystal system = tetragonal

abc: 5.811 5.811 5.811
angles: 134.87 134.87 65.74
Atoms (fractional coordinates):
La 0.000 0.000 0.000
La 0.250 0.750 0.500
Os 0.500 0.500 0.000
Sc 0.750 0.250 0.500

No. 3
Below is a relaxed structure of La2ScOs, with properties calculated at the PBE level.

Values from the calculation:
ΔE_f = 0.5 eV/f.u.
Excess energy over the best structure of this formula in the dataset = 208.9 meV/atom
Size of the total moment = 1.83 Bohr magnetons per cell
Crystal system = tetragonal

abc: 3.513 3.512 9.046
angles: 90.00 90.00 90.00
Each line ends with the local moment (μB).
Atoms (fractional coordinates):
La 0.000 0.000 0.054  0.10
La 0.000 0.000 0.446  0.10
Os 0.500 0.500 0.250  0.15
Sc 0.500 0.500 0.750  0.65